# 1
# PmSm2Tc (PBE, relaxed)
# Total magnetic moment   0.00 μB per formula unit
# Density of states at the Fermi level   12.33 states/eV per cell
# Distance to the lowest polymorph of the same formula   0 meV per atom
# Formation energy   -0.01 eV per atom
# Uncorrected energy   -0.45219 Ry/atom
data_PmSm2Tc
_cell_length_a 3.988
_cell_length_b 12.229
_cell_length_c 9.415
_cell_angle_alpha 90.00
_cell_angle_beta 90.00
_cell_angle_gamma 90.00
_symmetry_space_group_name_H-M 'C m c m'
_symmetry_Int_Tables_number 63
_symmetry_space_group_name_Hall '-C 2c 2'
loop_
_atom_site_label
_atom_site_fract_x
_atom_site_fract_y
_atom_site_fract_z
Pm1 0.000 0.075 0.250
Sm1 0.000 0.355 0.069
Tc1 0.000 0.261 0.750



# 2
# Ba4HgGeI2 (PBE, relaxed)
# Total magnetic moment   1.12 μB per formula unit
# Density of states at the Fermi level   4.72 states/eV per cell
# Formation energy from raw total energies   -946 meV per atom
# Uncorrected energy   -0.21385 Ry/atom
data_Ba4HgGeI2
_cell_length_a 8.247
_cell_length_b 4.944
_cell_length_c 9.254
_cell_angle_alpha 90.00
_cell_angle_beta 107.55
_cell_angle_gamma 90.00
_symmetry_space_group_name_H-M 'P 1 2/m 1'
_symmetry_Int_Tables_number 10
_symmetry_space_group_name_Hall '-P 2y'
loop_
_atom_site_label
_atom_site_fract_x
_atom_site_fract_y
_atom_site_fract_z
Ba1 0.224 0.000 0.212
Ba2 0.246 0.500 0.774
Hg1 0.500 0.000 0.000
Ge1 0.000 0.500 0.000
I1 0.000 0.000 0.500
I2 0.500 0.500 0.500



# 3
# K2PaSb2S6 (PBE, relaxed)
# Total magnetic moment   1.06 μB per formula unit
# Density of states at the Fermi level   10.43 states/eV per cell
# Formation energy from raw total energies   -962 meV per atom
# Uncorrected energy   -0.36941 Ry/atom
data_K2PaSb2S6
_cell_length_a 7.093
_cell_length_b 12.162
_cell_length_c 7.874
_cell_angle_alpha 90.00
_cell_angle_beta 108.15
_cell_angle_gamma 90.00
_symmetry_space_group_name_H-M 'C 1 2/m 1'
_symmetry_Int_Tables_number 12
_symmetry_space_group_name_Hall '-C 2y'
loop_
_atom_site_label
_atom_site_fract_x
_atom_site_fract_y
_atom_site_fract_z
K1 0.000 0.171 0.000
Pa1 0.000 0.000 0.500
Sb1 0.000 0.332 0.500
S1 0.228 0.165 0.695
S2 0.249 0.500 0.697



# 4
# ErCu5Pt7 (PBE, relaxed)
# Total magnetic moment   0.00 μB per formula unit
# Density of states at the Fermi level   17.61 states/eV per cell
# Formation energy   -0.36 eV per atom
# Uncorrected energy   -0.40689 Ry/atom
data_ErCu5Pt7
_cell_length_a 5.022
_cell_length_b 8.800
_cell_length_c 8.908
_cell_angle_alpha 90.00
_cell_angle_beta 90.00
_cell_angle_gamma 90.00
_symmetry_space_group_name_H-M 'I m m 2'
_symmetry_Int_Tables_number 44
_symmetry_space_group_name_Hall 'I 2 -2'
loop_
_atom_site_label
_atom_site_fract_x
_atom_site_fract_y
_atom_site_fract_z
Er1 0.000 0.000 0.000
Cu1 0.000 0.500 0.273
Cu2 0.249 0.255 0.248
Pt1 0.000 0.000 0.345
Pt2 0.000 0.000 0.656
Pt3 0.000 0.289 0.496
Pt4 0.000 0.343 0.999
Pt5 0.000 0.500 0.721